No. 1
MgZrW2 after structural relaxation, computed with PBE.

* magnetization: 0.0000 μB per atom
* theoretical density: 10.88 Mg/m³
* E_form: 382 meV per atom
* N(E_F): 0.69 states/eV/atom
* crystal system: tetragonal

a = 2.757 Å, b = 2.757 Å, c = 9.704 Å
α = 90.00°, β = 90.00°, γ = 90.00°
Atoms (fractional coordinates):
1 W 0.500 0.500 0.241
2 W 0.000 0.000 0.004
3 Mg 0.500 0.500 0.768
4 Zr 0.000 0.000 0.487



No. 2
MgZrW2 after structural relaxation, computed with PBE.

* magnetization: 0.0000 μB per atom
* theoretical density: 10.65 Mg/m³
* E_form: 195 meV per atom
* N(E_F): 0.38 states/eV/atom
* crystal system: tetragonal

a = 3.273 Å, b = 3.273 Å, c = 7.030 Å
α = 90.00°, β = 90.00°, γ = 90.00°
Atoms (fractional coordinates):
1 Mg 0.500 0.500 0.778
2 W 0.000 0.000 0.028
3 W 0.500 0.500 0.225
4 Zr 0.000 0.000 0.470



No. 3
MgZrW2 after structural relaxation, computed with PBE.

* magnetization: 0.0000 μB per atom
* theoretical density: 10.82 Mg/m³
* E_form: 198 meV per atom
* N(E_F): 0.74 states/eV/atom
* crystal system: orthorhombic

a = 2.856 Å, b = 2.856 Å, c = 9.711 Å
α = 90.00°, β = 90.00°, γ = 110.58°
Atoms (fractional coordinates):
1 W 0.500 0.500 0.233
2 W 0.000 0.000 0.017
3 Zr 0.000 0.000 0.481
4 Mg 0.500 0.500 0.769



No. 4
MgZrW2 after structural relaxation, computed with PBE.

* magnetization: 0.0000 μB per atom
* theoretical density: 10.96 Mg/m³
* E_form: 397 meV per atom
* N(E_F): 0.67 states/eV/atom
* crystal system: orthorhombic

a = 2.745 Å, b = 4.409 Å, c = 6.052 Å
α = 90.00°, β = 90.00°, γ = 90.00°
Atoms (fractional coordinates):
1 W 0.500 0.500 0.230
2 W 0.000 0.000 0.012
3 Zr 0.000 0.000 0.498
4 Mg 0.500 0.500 0.760



No. 5
MgZr2W after structural relaxation, computed with PBE.

* magnetization: 0.0000 μB per atom
* theoretical density: 8.18 Mg/m³
* E_form: 363 meV per atom
* N(E_F): 1.37 states/eV/atom
* crystal system: cubic

a = 4.822 Å, b = 4.822 Å, c = 4.822 Å
α = 60.00°, β = 60.00°, γ = 60.00°
Atoms (fractional coordinates):
1 W 0.750 0.750 0.750
2 Zr 0.250 0.250 0.250
3 Zr 0.000 0.000 0.000
4 Mg 0.500 0.500 0.500



No. 6
MgZr2W after structural relaxation, computed with PBE.

* magnetization: 0.0001 μB per atom
* theoretical density: 7.92 Mg/m³
* E_form: 311 meV per atom
* N(E_F): 1.32 states/eV/atom
* crystal system: trigonal

a = 10.884 Å, b = 10.884 Å, c = 10.884 Å
α = 15.66°, β = 15.66°, γ = 15.66°
Atoms (fractional coordinates):
1 Mg 0.250 0.250 0.250
2 Zr 0.003 0.003 0.003
3 Zr 0.497 0.497 0.497
4 W 0.750 0.750 0.750



No. 7
MgZr2W after structural relaxation, computed with PBE.

* magnetization: 0.0000 μB per atom
* theoretical density: 8.10 Mg/m³
* E_form: 272 meV per atom
* N(E_F): 1.14 states/eV/atom
* crystal system: monoclinic

a = 6.184 Å, b = 5.659 Å, c = 2.805 Å
α = 82.62°, β = 77.37°, γ = 119.48°
Atoms (fractional coordinates):
1 Mg 0.000 0.500 0.500
2 W 0.500 0.500 0.000
3 Zr 0.500 0.000 0.500
4 Zr 0.000 0.000 0.000



No. 8
MgZr2W after structural relaxation, computed with PBE.

* magnetization: 0.0001 μB per atom
* theoretical density: 8.00 Mg/m³
* E_form: 242 meV per atom
* N(E_F): 1.18 states/eV/atom
* crystal system: orthorhombic

a = 2.905 Å, b = 2.905 Å, c = 10.160 Å
α = 90.00°, β = 90.00°, γ = 109.01°
Atoms (fractional coordinates):
1 W 0.500 0.500 0.751
2 Zr 0.500 0.500 0.253
3 Zr 0.000 0.000 0.975
4 Mg 0.000 0.000 0.521



No. 9
MgZr2W after structural relaxation, computed with PBE.

* magnetization: 0.0000 μB per atom
* theoretical density: 7.58 Mg/m³
* E_form: 843 meV per atom
* N(E_F): 0.92 states/eV/atom
* crystal system: tetragonal

a = 4.113 Å, b = 4.113 Å, c = 10.528 Å
α = 78.74°, β = 78.74°, γ = 90.00°
Atoms (fractional coordinates):
1 Mg 0.250 0.750 0.500
2 Mg 0.500 0.500 0.000
3 W 0.750 0.250 0.500
4 W 0.000 0.000 0.000
5 Zr 0.375 0.360 0.750
6 Zr 0.875 0.890 0.750
7 Zr 0.640 0.125 0.250
8 Zr 0.110 0.625 0.250



No. 10
MgZr2W after structural relaxation, computed with PBE.

* magnetization: 0.0000 μB per atom
* theoretical density: 8.02 Mg/m³
* E_form: 246 meV per atom
* N(E_F): 1.19 states/eV/atom
* crystal system: monoclinic

a = 4.926 Å, b = 2.907 Å, c = 5.763 Å
α = 78.62°, β = 90.00°, γ = 90.00°
Atoms (fractional coordinates):
1 Mg 0.000 0.572 0.501
2 Zr 0.000 0.974 0.973
3 Zr 0.500 0.244 0.252
4 W 0.500 0.710 0.774



No. 11
MgZrW2 after structural relaxation, computed with PBE.

* magnetization: 0.0000 μB per atom
* theoretical density: 11.18 Mg/m³
* E_form: 347 meV per atom
* N(E_F): 0.93 states/eV/atom
* crystal system: monoclinic

a = 5.613 Å, b = 5.613 Å, c = 2.753 Å
α = 80.34°, β = 80.34°, γ = 118.82°
Atoms (fractional coordinates):
1 W 0.000 0.000 0.000
2 W 0.500 0.500 0.000
3 Mg 0.000 0.500 0.500
4 Zr 0.500 0.000 0.500



No. 12
MgZrW2 after structural relaxation, computed with PBE.

* magnetization: 0.0000 μB per atom
* theoretical density: 10.92 Mg/m³
* E_form: 267 meV per atom
* N(E_F): 0.79 states/eV/atom
* crystal system: monoclinic

a = 4.501 Å, b = 2.817 Å, c = 5.942 Å
α = 77.14°, β = 90.00°, γ = 90.00°
Atoms (fractional coordinates):
1 W 0.000 0.024 0.019
2 W 0.500 0.199 0.226
3 Zr 0.000 0.492 0.489
4 Mg 0.500 0.785 0.766